[1]
# Li2CrMo

Li2CrMo at its PBEsol-relaxed geometry (meta-GGA SCAN, Alexandria via LeMat-Bulk). Values from VASP.

Structure (Quantum ESPRESSO input):
```
&SYSTEM
  ibrav = 0, nat = 4, ntyp = 3
/
ATOMIC_SPECIES
Cr 52.00 Cr.upf
Li 6.94 Li.upf
Mo 95.94 Mo.upf
ATOMIC_POSITIONS crystal
Cr 0.250 0.250 0.250
Li 0.000 0.000 0.000
Li 0.750 0.750 0.750
Mo 0.500 0.500 0.500
CELL_PARAMETERS angstrom
-2.802 -2.464 -1.961
0.365 -4.194 0.218
-2.772 -2.242 2.249
```

Properties
formation energy = 0.5392 eV per atom



[2]
# LiCrMo

LiCrMo at its PBEsol-relaxed geometry (meta-GGA SCAN, Alexandria via LeMat-Bulk). Values from VASP.

Structure (Quantum ESPRESSO input):
```
&SYSTEM
  ibrav = 0, nat = 3, ntyp = 3
/
ATOMIC_SPECIES
Cr 52.00 Cr.upf
Li 6.94 Li.upf
Mo 95.94 Mo.upf
ATOMIC_POSITIONS crystal
Cr 0.250 0.250 0.250
Li 0.000 0.000 0.000
Mo 0.500 0.500 0.500
CELL_PARAMETERS angstrom
4.028 0.000 0.000
2.014 3.488 0.000
2.014 1.163 3.289
```

Properties
formation energy = 1.1047 eV per atom



[3]
# LiCrMo2

LiCrMo2 at its PBEsol-relaxed geometry (meta-GGA SCAN, Alexandria via LeMat-Bulk). Values from VASP.

Structure (Quantum ESPRESSO input):
```
&SYSTEM
  ibrav = 0, nat = 4, ntyp = 3
/
ATOMIC_SPECIES
Cr 52.00 Cr.upf
Li 6.94 Li.upf
Mo 95.94 Mo.upf
ATOMIC_POSITIONS crystal
Cr 0.000 0.000 0.505
Li 0.500 0.500 0.748
Mo 0.000 0.000 0.987
Mo 0.500 0.500 0.259
CELL_PARAMETERS angstrom
-1.105 0.395 2.166
-3.388 -2.277 -1.313
2.173 -4.329 1.899
```

Properties
formation energy = 0.5073 eV per atom
distance to the lowest polymorph of the same formula = 13.5 meV per atom



[4]
# LiCrMo2

LiCrMo2 at its PBEsol-relaxed geometry (meta-GGA SCAN, Alexandria via LeMat-Bulk). Values from VASP.

Structure (Quantum ESPRESSO input):
```
&SYSTEM
  ibrav = 0, nat = 4, ntyp = 3
/
ATOMIC_SPECIES
Cr 52.00 Cr.upf
Li 6.94 Li.upf
Mo 95.94 Mo.upf
ATOMIC_POSITIONS crystal
Cr 0.500 0.000 0.000
Li 0.500 0.500 0.500
Mo 0.000 0.500 0.000
Mo 0.000 0.000 0.500
CELL_PARAMETERS angstrom
-1.705 -1.812 -0.002
1.536 -1.441 -4.469
2.265 -2.135 3.836
```

Properties
formation energy = 0.4938 eV per atom
distance to the lowest polymorph of the same formula = 0.0 meV per atom



[5]
# LiCr2Mo3O12

LiCr2Mo3O12 at its PBEsol-relaxed geometry (meta-GGA SCAN, Alexandria via LeMat-Bulk). Values from VASP.

Structure (Quantum ESPRESSO input):
```
&SYSTEM
  ibrav = 0, nat = 36, ntyp = 4
/
ATOMIC_SPECIES
Li 6.94 Li.upf
Cr 52.00 Cr.upf
Mo 95.94 Mo.upf
O 16.00 O.upf
ATOMIC_POSITIONS crystal
Li 0.315 0.567 0.415
Li 0.685 0.433 0.585
Cr 0.305 0.163 0.022
Cr 0.695 0.837 0.978
Cr 0.689 0.235 0.374
Cr 0.311 0.765 0.626
Mo 0.728 0.315 0.049
Mo 0.272 0.685 0.951
Mo 0.264 0.091 0.348
Mo 0.736 0.909 0.652
Mo 0.222 0.278 0.693
Mo 0.778 0.722 0.307
O 0.990 0.194 0.362
O 0.010 0.806 0.638
O 0.049 0.655 0.324
O 0.951 0.345 0.676
O 0.379 0.282 0.389
O 0.621 0.718 0.611
O 0.679 0.317 0.204
O 0.321 0.683 0.796
O 0.329 0.428 0.042
O 0.671 0.572 0.958
O 0.319 0.068 0.195
O 0.681 0.932 0.805
O 0.004 0.219 0.035
O 0.996 0.781 0.965
O 0.275 0.249 0.847
O 0.725 0.751 0.153
O 0.342 0.481 0.605
O 0.658 0.519 0.395
O 0.700 0.154 0.551
O 0.300 0.846 0.449
O 0.622 0.119 0.998
O 0.378 0.881 0.002
O 0.322 0.039 0.644
O 0.678 0.961 0.356
CELL_PARAMETERS angstrom
6.462 0.122 -0.012
1.518 6.723 -0.055
0.867 2.275 10.976
```

Properties
ΔE_f (raw) = -2.243 eV/atom



[6]
# LiCrMo2O8

LiCrMo2O8 at its PBEsol-relaxed geometry (meta-GGA SCAN, Alexandria via LeMat-Bulk). Values from VASP.

Structure (Quantum ESPRESSO input):
```
&SYSTEM
  ibrav = 0, nat = 24, ntyp = 4
/
ATOMIC_SPECIES
Li 6.94 Li.upf
Cr 52.00 Cr.upf
Mo 95.94 Mo.upf
O 16.00 O.upf
ATOMIC_POSITIONS crystal
Li 0.724 0.051 0.731
Li 0.276 0.949 0.269
Cr 0.095 0.401 0.677
Cr 0.905 0.599 0.323
Mo 0.680 0.538 0.769
Mo 0.320 0.462 0.231
Mo 0.162 0.924 0.711
Mo 0.838 0.076 0.289
O 0.083 0.657 0.615
O 0.917 0.343 0.385
O 0.250 0.930 0.970
O 0.750 0.070 0.030
O 0.382 0.454 0.638
O 0.618 0.546 0.362
O 0.737 0.546 0.034
O 0.263 0.454 0.966
O 0.025 0.121 0.652
O 0.975 0.879 0.348
O 0.815 0.368 0.724
O 0.185 0.632 0.276
O 0.793 0.779 0.732
O 0.207 0.221 0.268
O 0.402 0.015 0.658
O 0.598 0.985 0.342
CELL_PARAMETERS angstrom
6.657 -0.096 0.073
-1.912 6.955 0.044
-2.464 -0.783 6.497
```

Properties
ΔE_f (raw) = -2.278 eV/atom



[7]
# SrLi2CrMo

SrLi2CrMo at its PBEsol-relaxed geometry (meta-GGA SCAN, Alexandria via LeMat-Bulk). Values from VASP.

Structure (Quantum ESPRESSO input):
```
&SYSTEM
  ibrav = 0, nat = 5, ntyp = 4
/
ATOMIC_SPECIES
Sr 87.62 Sr.upf
Mo 95.94 Mo.upf
Li 6.94 Li.upf
Cr 52.00 Cr.upf
ATOMIC_POSITIONS crystal
Sr 0.000 0.000 0.000
Mo 0.000 0.000 0.500
Li 0.000 0.500 0.000
Li 0.500 0.000 0.000
Cr 0.500 0.500 0.500
CELL_PARAMETERS angstrom
-2.407 -1.453 3.641
3.854 -1.660 1.885
0.772 4.336 2.240
```

Properties
formation energy = 1.7736 eV per atom



[8]
# LiCr2N3

LiCr2N3 at its PBEsol-relaxed geometry (meta-GGA SCAN, Alexandria via LeMat-Bulk). Values from VASP.

Structure (Quantum ESPRESSO input):
```
&SYSTEM
  ibrav = 0, nat = 12, ntyp = 3
/
ATOMIC_SPECIES
Li 6.94 Li.upf
Cr 52.00 Cr.upf
N 14.01 N.upf
ATOMIC_POSITIONS crystal
Li 0.523 0.666 0.334
Li 0.023 0.334 0.666
Cr 0.512 0.334 0.002
Cr 0.512 0.998 0.666
Cr 0.012 0.666 0.998
Cr 0.012 0.002 0.334
N 0.139 0.331 0.041
N 0.139 0.959 0.669
N 0.639 0.669 0.959
N 0.639 0.041 0.331
N 0.086 0.704 0.296
N 0.586 0.296 0.704
CELL_PARAMETERS angstrom
-2.227 0.453 -4.362
4.487 -1.875 -2.486
0.526 -5.373 -0.827
```

Properties
ΔE_f (raw) = -0.743 eV/atom